DFT (PBE) results for crystalline NdMgTe at its relaxed geometry.

abc: 8.909 8.909 8.909
angles: 34.03 34.03 34.03
Atoms (fractional coordinates):
Nd 0.079 0.079 0.079
Nd 0.921 0.921 0.921
Mg 0.331 0.331 0.331
Mg 0.669 0.669 0.669
Te 0.214 0.214 0.214
Te 0.786 0.786 0.786

Computed properties:
The calculation puts the raw formation energy at -0.751 eV per atom. For the magnetic moment, the calculation gives 0.00 μB per formula unit. The value obtained for the electronic total energy is -3.92 eV/atom.